Here is a relaxed structure of SrAcSi2Pt5 from Alexandria. Energies are from GGA-PBE.

As for the density of states at the Fermi level: 0.61 states/eV per atom. For the energy relative to the elements, uncorrected, the calculation gives -0.90 eV/atom. As for the final energy: -54.9 eV/cell. The size of the total moment is 0.00 Bohr magnetons per cell.

abc: 4.351 4.351 9.242
angles: 90.00 90.00 90.00
Positions (direct):
Pt (0.500, 0.500, 0.500)
Pt (0.000, 0.500, 0.742)
Pt (0.500, 0.000, 0.258)
Pt (0.000, 0.500, 0.258)
Pt (0.500, 0.000, 0.742)
Si (0.500, 0.500, 0.861)
Si (0.500, 0.500, 0.139)
Sr (0.000, 0.000, 0.000)
Ac (0.000, 0.000, 0.500)



Here is a relaxed structure of Ac2TaSi4Pt3 from Alexandria. Energies are from GGA-PBE.

As for the density of states at the Fermi level: 0.43 states/eV per atom. For the energy relative to the elements, uncorrected, the calculation gives -0.92 eV/atom. As for the final energy: -69.0 eV/cell. The size of the total moment is 0.00 Bohr magnetons per cell.

abc: 4.337 4.337 10.500
angles: 90.00 90.00 90.00
Positions (direct):
Ac (0.500, 0.000, 0.238)
Ac (0.000, 0.500, 0.762)
Si (0.500, 0.500, 0.000)
Si (0.000, 0.000, 0.000)
Si (0.000, 0.500, 0.362)
Si (0.500, 0.000, 0.638)
Pt (0.000, 0.000, 0.500)
Pt (0.000, 0.500, 0.115)
Pt (0.500, 0.000, 0.885)
Ta (0.500, 0.500, 0.500)